# 1
A geometry-optimized Rb4Zn2H structure. Source: the Alexandria database, functional PBE-GGA.

Cell: 6.553 6.553 9.094 Å, 68.88 68.88 90.00°
Fractional coordinates of all 7 atoms:
Zn  0.415  0.415  0.169
Rb  0.000  0.500  0.000
Zn  0.585  0.585  0.831
H  0.000  0.000  0.000
Rb  0.817  0.817  0.366
Rb  0.500  0.000  0.000
Rb  0.183  0.183  0.634

Calculated values
**Density of states at the Fermi level**: 3.2 states/eV per cell
**Space group**: I4/mmm



# 2
A geometry-optimized Rb2ZnH4 structure. Source: the Alexandria database, functional PBE-GGA.

Cell: 6.098 5.947 8.380 Å, 90.00 103.29 90.00°
Fractional coordinates of all 14 atoms:
H  0.902  0.250  0.668
H  0.465  0.974  0.270
Rb  0.774  0.750  0.548
H  0.809  0.250  0.978
Zn  0.702  0.250  0.776
H  0.465  0.526  0.270
Rb  0.280  0.250  0.972
H  0.191  0.750  0.022
H  0.098  0.750  0.332
H  0.535  0.474  0.730
Rb  0.720  0.750  0.028
Zn  0.298  0.750  0.224
Rb  0.226  0.250  0.452
H  0.535  0.026  0.730

Calculated values
**Density of states at the Fermi level**: 0.0 states/eV per cell
**Space group**: P2_1/m



# 3
A geometry-optimized Rb3Zn2H8 structure. Source: the Alexandria database, functional PBE-GGA.

Cell: 5.967 5.967 7.936 Å, 67.92 67.92 60.00°
Fractional coordinates of all 13 atoms:
H  0.282  0.753  0.684
Zn  0.426  0.426  0.721
H  0.718  0.718  0.316
H  0.652  0.652  0.045
Rb  0.000  0.000  0.000
Rb  0.788  0.788  0.637
H  0.753  0.282  0.684
H  0.348  0.348  0.955
H  0.282  0.282  0.684
H  0.718  0.247  0.316
H  0.247  0.718  0.316
Zn  0.574  0.574  0.279
Rb  0.212  0.212  0.363

Calculated values
**Density of states at the Fermi level**: 2.4 states/eV per cell
**Space group**: R-3m



# 4
A geometry-optimized RbZn3H structure. Source: the Alexandria database, functional PBE-GGA.

Cell: 4.892 4.892 4.892 Å, 90.00 90.00 90.00°
Fractional coordinates of all 5 atoms:
Zn  0.000  0.000  0.500
Rb  0.500  0.500  0.500
Zn  0.500  0.000  0.000
Zn  0.000  0.500  0.000
H  0.000  0.000  0.000

Calculated values
**Density of states at the Fermi level**: 1.9 states/eV per cell
**Space group**: Pm-3m



# 5
A geometry-optimized Rb2ZnH2 structure. Source: the Alexandria database, functional PBE-GGA.

Cell: 8.677 8.677 3.625 Å, 90.00 90.00 90.00°
Fractional coordinates of all 10 atoms:
Zn  0.000  0.000  0.000
Zn  0.500  0.500  0.000
H  0.351  0.149  0.500
Rb  0.856  0.644  0.000
Rb  0.356  0.856  0.000
H  0.851  0.351  0.500
H  0.149  0.649  0.500
Rb  0.644  0.144  0.000
H  0.649  0.851  0.500
Rb  0.144  0.356  0.000

Calculated values
**Offset from the most stable computed form**: 0.35 eV/f.u.
**Density of states at the Fermi level**: 0.0 states/eV per cell
**Space group**: P4/mbm



# 6
A geometry-optimized Rb3Zn5H12 structure. Source: the Alexandria database, functional PBE-GGA.

Cell: 11.197 11.197 11.197 Å, 109.47 109.47 109.47°
Fractional coordinates of all 80 atoms:
H  0.518  0.690  0.112
H  0.112  0.922  0.095
H  0.612  0.595  0.422
Rb  0.375  0.625  0.250
Rb  0.875  0.125  0.250
H  0.673  0.578  0.190
H  0.327  0.905  0.018
Zn  0.125  0.750  0.375
H  0.310  0.827  0.422
H  0.422  0.095  0.612
Zn  0.375  0.125  0.750
H  0.173  0.482  0.595
H  0.518  0.827  0.905
Zn  0.000  0.500  0.000
H  0.888  0.078  0.905
H  0.888  0.810  0.482
H  0.112  0.190  0.518
H  0.095  0.673  0.482
H  0.595  0.612  0.922
Rb  0.625  0.375  0.750
Rb  0.375  0.750  0.625
Zn  0.000  0.000  0.000
H  0.482  0.173  0.095
H  0.327  0.422  0.810
Rb  0.125  0.875  0.750
Zn  0.875  0.250  0.625
H  0.905  0.578  0.888
H  0.095  0.422  0.112
H  0.982  0.595  0.673
H  0.922  0.112  0.595
H  0.595  0.982  0.173
Rb  0.250  0.125  0.375
H  0.922  0.810  0.827
H  0.578  0.905  0.388
H  0.018  0.405  0.327
H  0.310  0.482  0.388
H  0.405  0.018  0.827
Zn  0.375  0.250  0.125
H  0.190  0.112  0.018
H  0.827  0.518  0.405
H  0.982  0.388  0.810
Zn  0.750  0.625  0.375
H  0.827  0.310  0.922
Zn  0.000  0.000  0.500
Zn  0.500  0.500  0.000
H  0.905  0.327  0.518
Rb  0.875  0.750  0.125
Rb  0.250  0.625  0.875
H  0.482  0.310  0.888
Rb  0.125  0.250  0.875
Zn  0.125  0.375  0.250
H  0.690  0.518  0.612
Rb  0.625  0.250  0.375
Zn  0.875  0.625  0.750
Rb  0.750  0.375  0.125
H  0.078  0.888  0.405
H  0.810  0.922  0.327
Zn  0.625  0.750  0.875
H  0.388  0.982  0.310
H  0.690  0.173  0.578
Zn  0.000  0.500  0.500
H  0.190  0.078  0.673
Zn  0.750  0.125  0.875
Zn  0.500  0.000  0.000
H  0.612  0.018  0.690
H  0.405  0.388  0.078
Zn  0.250  0.375  0.625
Zn  0.500  0.500  0.500
H  0.078  0.190  0.173
Rb  0.750  0.875  0.625
H  0.673  0.095  0.982
H  0.173  0.690  0.078
Zn  0.625  0.875  0.250
H  0.810  0.888  0.982
H  0.578  0.673  0.690
Zn  0.500  0.000  0.500
H  0.388  0.405  0.578
Zn  0.250  0.875  0.125
H  0.422  0.327  0.310
H  0.018  0.612  0.190

Calculated values
**Density of states at the Fermi level**: 5.9 states/eV per cell
**Space group**: Ia-3d



# 7
A geometry-optimized RbZn2H2 structure. Source: the Alexandria database, functional PBE-GGA.

Cell: 4.256 4.256 5.576 Å, 67.56 67.56 90.00°
Fractional coordinates of all 5 atoms:
Zn  0.655  0.655  0.689
Zn  0.345  0.345  0.311
Rb  0.000  0.000  0.000
H  0.750  0.250  0.500
H  0.250  0.750  0.500

Calculated values
**Density of states at the Fermi level**: 1.2 states/eV per cell
**Space group**: I4/mmm



# 8
A geometry-optimized Rb4ZnH6 structure. Source: the Alexandria database, functional PBE-GGA.

Cell: 6.002 7.347 13.813 Å, 76.92 77.45 65.89°
Fractional coordinates of all 22 atoms:
Rb  0.421  0.757  0.930
Zn  0.674  0.769  0.416
H  0.528  0.655  0.740
Rb  0.236  0.746  0.300
H  0.923  0.638  0.474
H  0.447  0.694  0.476
Rb  0.954  0.508  0.119
H  0.383  0.194  0.976
Rb  0.613  0.131  0.167
Zn  0.141  0.269  0.916
H  0.423  0.556  0.129
H  0.077  0.155  0.240
Rb  0.089  0.631  0.667
H  0.750  0.712  0.298
H  0.591  0.019  0.407
H  0.984  0.519  0.907
H  0.892  0.056  0.629
Rb  0.718  0.246  0.800
H  0.965  0.138  0.974
H  0.240  0.212  0.798
Rb  0.420  0.008  0.619
Rb  0.892  0.257  0.430

Calculated values
**Density of states at the Fermi level**: 0.0 states/eV per cell
**Space group**: Cc



# 9
A geometry-optimized Rb3ZnH4 structure. Source: the Alexandria database, functional PBE-GGA.

Cell: 5.905 9.657 8.430 Å, 90.00 90.00 90.00°
Fractional coordinates of all 16 atoms:
Rb  0.505  0.293  0.764
H  0.645  0.883  0.337
H  0.743  0.145  0.000
Rb  0.005  0.707  0.264
Zn  0.001  0.077  0.000
Rb  0.505  0.293  0.236
Zn  0.501  0.923  0.500
H  0.481  0.100  0.500
H  0.243  0.855  0.500
H  0.145  0.117  0.163
Rb  0.005  0.707  0.736
H  0.645  0.883  0.663
H  0.145  0.117  0.837
Rb  0.989  0.092  0.500
Rb  0.489  0.908  0.000
H  0.981  0.900  0.000

Calculated values
**Density of states at the Fermi level**: 2.6 states/eV per cell
**Space group**: Pmn2_1



# 10
A geometry-optimized Rb3ZnH6 structure. Source: the Alexandria database, functional PBE-GGA.

Cell: 4.301 9.979 9.979 Å, 105.92 90.00 90.00°
Fractional coordinates of all 20 atoms:
Zn  0.989  0.219  0.781
H  0.105  0.779  0.221
Rb  0.022  0.614  0.386
H  0.284  0.671  0.670
H  0.284  0.330  0.329
H  0.089  0.152  0.613
Rb  0.524  0.945  0.686
Zn  0.489  0.781  0.219
Rb  0.024  0.055  0.314
H  0.589  0.848  0.387
Rb  0.524  0.314  0.055
H  0.784  0.670  0.671
Rb  0.522  0.386  0.614
H  0.089  0.387  0.848
H  0.589  0.613  0.152
H  0.575  0.883  0.117
H  0.784  0.329  0.330
H  0.605  0.221  0.779
H  0.075  0.117  0.883
Rb  0.024  0.686  0.945

Calculated values
**Density of states at the Fermi level**: 0.4 states/eV per cell
**Space group**: Cmc2_1



# 11
A geometry-optimized RbZnH3 structure. Source: the Alexandria database, functional PBE-GGA.

Cell: 3.952 3.952 3.952 Å, 90.00 90.00 90.00°
Fractional coordinates of all 5 atoms:
Rb  0.500  0.500  0.500
H  0.500  0.000  0.000
H  0.000  0.500  0.000
Zn  0.000  0.000  0.000
H  0.000  0.000  0.500

Calculated values
**Offset from the most stable computed form**: 0.79 eV/f.u.
**Density of states at the Fermi level**: 0.2 states/eV per cell
**Space group**: Pm-3m



# 12
A geometry-optimized Rb3ZnH structure. Source: the Alexandria database, functional PBE-GGA.

Cell: 5.900 5.900 5.900 Å, 90.00 90.00 90.00°
Fractional coordinates of all 5 atoms:
Rb  0.000  0.500  0.000
Rb  0.500  0.000  0.000
Zn  0.500  0.500  0.500
H  0.000  0.000  0.000
Rb  0.000  0.000  0.500

Calculated values
**Offset from the most stable computed form**: 0.00 eV/f.u.
**Density of states at the Fermi level**: 3.9 states/eV per cell
**Space group**: Pm-3m



# 13
A geometry-optimized Rb2ZnH2 structure. Source: the Alexandria database, functional PBE-GGA.

Cell: 8.164 8.164 3.755 Å, 90.00 90.00 90.00°
Fractional coordinates of all 10 atoms:
Rb  0.153  0.653  0.500
Rb  0.653  0.847  0.500
H  0.650  0.150  0.000
H  0.350  0.850  0.000
Zn  0.000  0.000  0.000
Rb  0.847  0.347  0.500
H  0.150  0.350  0.000
Zn  0.500  0.500  0.000
H  0.850  0.650  0.000
Rb  0.347  0.153  0.500

Calculated values
**Offset from the most stable computed form**: 0.00 eV/f.u.
**Density of states at the Fermi level**: 0.1 states/eV per cell
**Space group**: P4/mbm



# 14
A geometry-optimized Rb2Zn3H8 structure. Source: the Alexandria database, functional PBE-GGA.

Cell: 5.151 5.873 6.901 Å, 115.18 106.93 90.00°
Fractional coordinates of all 13 atoms:
Zn  0.000  0.740  0.000
H  0.011  0.598  0.196
H  0.067  0.912  0.824
H  0.989  0.402  0.804
H  0.362  0.866  0.141
H  0.933  0.088  0.176
H  0.638  0.725  0.859
Zn  0.000  0.260  0.000
Zn  0.500  0.000  0.000
Rb  0.329  0.286  0.573
H  0.362  0.275  0.141
Rb  0.671  0.714  0.427
H  0.638  0.134  0.859

Calculated values
**Density of states at the Fermi level**: 0.0 states/eV per cell
**Space group**: C2/m



# 15
A geometry-optimized Rb3Zn2H7 structure. Source: the Alexandria database, functional PBE-GGA.

Cell: 3.959 4.050 11.294 Å, 100.33 90.00 90.00°
Fractional coordinates of all 12 atoms:
H  0.500  0.088  0.176
H  0.000  0.169  0.339
H  0.000  0.000  0.000
Rb  0.500  0.500  0.000
H  0.000  0.831  0.661
Zn  0.000  0.911  0.823
H  0.000  0.412  0.823
H  0.000  0.588  0.177
H  0.500  0.912  0.824
Rb  0.500  0.675  0.351
Rb  0.500  0.325  0.649
Zn  0.000  0.089  0.177

Calculated values
**Space group**: Cmmm



# 16
A geometry-optimized Rb2ZnH4 structure. Source: the Alexandria database, functional PBE-GGA.

Cell: 6.045 8.140 10.621 Å, 90.00 90.00 90.00°
Fractional coordinates of all 28 atoms:
Rb  0.750  0.015  0.186
H  0.525  0.686  0.847
Rb  0.250  0.660  0.093
Zn  0.750  0.259  0.583
H  0.025  0.814  0.347
Rb  0.750  0.515  0.314
Rb  0.750  0.340  0.907
Zn  0.750  0.759  0.917
Zn  0.250  0.241  0.083
H  0.750  0.963  0.908
H  0.750  0.194  0.433
H  0.250  0.537  0.408
H  0.250  0.306  0.933
H  0.750  0.463  0.592
H  0.525  0.186  0.653
H  0.475  0.314  0.153
Rb  0.250  0.985  0.814
H  0.250  0.806  0.567
H  0.750  0.694  0.067
H  0.975  0.686  0.847
H  0.975  0.186  0.653
H  0.475  0.814  0.347
Rb  0.750  0.840  0.593
H  0.250  0.037  0.092
H  0.025  0.314  0.153
Zn  0.250  0.741  0.417
Rb  0.250  0.160  0.407
Rb  0.250  0.485  0.686

Calculated values
**Density of states at the Fermi level**: 0.0 states/eV per cell
**Space group**: Pnma



# 17
A geometry-optimized Rb2ZnH5 structure. Source: the Alexandria database, functional PBE-GGA.

Cell: 6.054 6.054 5.942 Å, 120.63 120.63 90.00°
Fractional coordinates of all 8 atoms:
Rb  0.248  0.748  0.496
H  0.824  0.824  0.029
Zn  0.962  0.962  0.924
H  0.761  0.761  0.521
Rb  0.748  0.248  0.496
H  0.205  0.824  0.029
H  0.824  0.205  0.029
H  0.205  0.205  0.029

Calculated values
**Density of states at the Fermi level**: 0.6 states/eV per cell
**Space group**: I4mm



# 18
A geometry-optimized RbZrZnH2 structure. Source: the Alexandria database, functional PBE-GGA.

Cell: 4.437 5.813 4.437 Å, 90.00 90.00 90.00°
Fractional coordinates of all 5 atoms:
Zr  0.500  0.500  0.500
Rb  0.000  0.000  0.000
H  0.000  0.000  0.500
H  0.500  0.000  0.000
Zn  0.000  0.500  0.000

Calculated values
**Density of states at the Fermi level**: 5.0 states/eV per cell
**Space group**: P4/mmm



Number 1: VASP energy -8.87 eV per cell. Number 2: VASP energy -36.46 eV per cell. Number 3: VASP energy -32.66 eV per cell. Number 4: VASP energy -5.59 eV per cell. Number 5: VASP energy -18.15 eV per cell. Number 6: VASP energy -194.80 eV per cell. Number 7: VASP energy -8.67 eV per cell. Number 8: VASP energy -54.33 eV per cell. Number 9: VASP energy -37.39 eV per cell. Number 10: VASP energy -48.46 eV per cell. Number 11: VASP energy -12.35 eV per cell. Number 12: VASP energy -7.06 eV per cell. Number 13: VASP energy -18.85 eV per cell. Number 14: VASP energy -32.09 eV per cell. Number 15: VASP energy -29.49 eV per cell. Number 16: VASP energy -73.38 eV per cell. Number 17: VASP energy -19.89 eV per cell. Number 18: VASP energy -11.33 eV per cell.